# Zn2FeW

A geometry-optimized Zn2FeW structure (GGA-PBE, the Alexandria database).

Output
The value obtained for the energy relative to the elements is 0.23 eV per atom. As for the size of the total moment: 1.842 μB per formula unit.

abc: 2.6124 4.3070 5.0575
angles: 90.00 101.98 90.00
Space group P2/m (No. 10)
Unique sites:
Zn (0.1782, 0.0000, 0.2598) x2
Fe (0.0000, 0.5000, 0.5000) x1
W (0.5000, 0.5000, 0.0000) x1